1.
RbCuRh3 | the Alexandria database | GGA-PBE | relaxed; distance to the lowest polymorph of the same formula = 128.6 kJ per mole of atoms; E_tot = -2.96 eV per atom; space group = Pm-3m (221); DFT formation energy = 237.4 kJ per mole of atoms; M_tot = 0.000 μB/f.u.
1.0
4.7929 0.0000 0.0000
0.0000 4.7929 0.0000
0.0000 0.0000 4.7929
Rb Cu Rh
1 1 3
direct
0.0000 0.0000 0.0000
0.5000 0.5000 0.5000
0.0000 0.0000 0.5000
0.0000 0.5000 0.0000
0.5000 0.0000 0.0000



2.
Nd6Ir2Se3Cl | the Alexandria database | GGA-PBE | relaxed; E_tot = -6.27 eV per atom; space group = C2/m (12); M_tot = 0.000 μB/f.u.
1.0
9.3440 -2.0627 0.0000
9.3440 2.0627 0.0000
-2.2902 0.0000 8.4033
Nd Ir Se Cl
6 2 3 1
direct
0.0114 0.0114 0.2692
0.3250 0.3250 0.8835
0.3291 0.3291 0.4253
0.6709 0.6709 0.5747
0.6750 0.6750 0.1165
0.9886 0.9886 0.7308
0.1678 0.1678 0.3370
0.8322 0.8322 0.6630
0.1575 0.1575 0.8426
0.5000 0.5000 0.5000
0.8425 0.8425 0.1574
0.5000 0.5000 0.0000



3.
NiBiCl | the Alexandria database | GGA-PBE | relaxed; E_tot = -4.13 eV per atom; space group = P-1 (2); M_tot = 0.000 μB/f.u.
1.0
3.5169 0.0000 0.0000
-1.7495 5.3150 0.0000
-0.0252 -0.2638 7.4293
Ni Bi Cl
2 2 2
direct
0.0961 0.1857 0.1228
0.9039 0.8143 0.8772
0.3647 0.7335 0.1387
0.6353 0.2665 0.8613
0.3648 0.7355 0.6668
0.6352 0.2645 0.3332



4.
KMn2Re | the Alexandria database | GGA-PBE | relaxed; distance to the lowest polymorph of the same formula = 0.0 kJ per mole of atoms; E_tot = -7.30 eV per atom; space group = P4/mmm (123); DFT formation energy = 64.6 kJ per mole of atoms; M_tot = 6.543 μB/f.u.
1.0
3.0606 0.0000 0.0000
0.0000 3.0606 0.0000
0.0000 0.0000 8.6967
K Mn Re
1 2 1
direct
0.0000 0.0000 0.0000
0.5000 0.5000 0.3347
0.5000 0.5000 0.6653
0.0000 0.0000 0.5000



5.
Pm2Pr7Sm | the Alexandria database | GGA-PBE | relaxed; distance to the lowest polymorph of the same formula = 24.6 kJ per mole of atoms; E_tot = -4.16 eV per atom; space group = Cmmm (65); DFT formation energy = 58.7 kJ per mole of atoms; M_tot = 0.000 μB/f.u.
1.0
4.4722 -8.3503 0.0000
4.4722 8.3503 0.0000
0.0000 0.0000 5.6536
Pm Pr Sm
2 7 1
direct
0.2038 0.7962 0.0000
0.7962 0.2038 0.0000
0.0000 0.0000 0.0000
0.2058 0.4323 0.0000
0.2751 0.7249 0.5000
0.4323 0.2058 0.0000
0.5677 0.7942 0.0000
0.7249 0.2751 0.5000
0.7942 0.5677 0.0000
0.5000 0.5000 0.5000



6.
LiRuI2N | the Alexandria database | GGA-PBE | relaxed; distance to the lowest polymorph of the same formula = 0.0 kJ per mole of atoms; E_tot = -4.55 eV per atom; space group = P4/mmm (123); M_tot = 0.000 μB/f.u.
1.0
5.6269 0.0000 0.0000
0.0000 5.6269 0.0000
0.0000 0.0000 3.7380
Li Ru I N
1 1 2 1
direct
0.0000 0.0000 0.0000
0.5000 0.5000 0.5000
0.0000 0.5000 0.5000
0.5000 0.0000 0.5000
0.5000 0.5000 0.0000